A geometry-optimized BePdPbAu structure, computed with GGA-PBE.

Unit cell a=3.2283 b=3.4655 c=6.5941 alpha=90.00 beta=90.00 gamma=90.00
Space group Pmm2 (No. 25)
One atom of each set of equivalent atoms:
Be: 0.0000 0.0000 0.0000 (multiplicity 1)
Pd: 0.5000 0.0000 0.7499 (multiplicity 1)
Pb: 0.0000 0.5000 0.4913 (multiplicity 1)
Au: 0.5000 0.5000 0.0970 (multiplicity 1)

Properties
Offset from the most stable computed form = 0.043 eV/atom
Calculated formation energy = -0.46 eV/f.u.



A geometry-optimized Th2VCr2N6 structure, computed with GGA-PBE.

Unit cell a=5.7267 b=5.7267 c=14.9979 alpha=90.00 beta=90.00 gamma=120.00
Space group R-3m (No. 166, hexagonal axes)
One atom of each set of equivalent atoms:
Th: 0.0000 0.0000 0.2163 (multiplicity 6)
V: 0.0000 0.0000 0.0000 (multiplicity 3)
Cr: 0.0000 0.0000 0.4344 (multiplicity 6)
N: 0.0237 0.5118 0.7504 (multiplicity 18)

Properties
ΔE_f (raw) = -71 kJ/mol of atoms



A geometry-optimized NdB2Pt10 structure, computed with GGA-PBE.

Unit cell a=5.3219 b=10.8478 c=14.6112 alpha=90.00 beta=90.00 gamma=90.00
Space group Fmmm (No. 69)
One atom of each set of equivalent atoms:
Nd: 0.0000 0.0000 0.0000 (multiplicity 4)
B: 0.2500 0.0000 0.2500 (multiplicity 8)
Pt: 0.0000 0.1266 0.3645 (multiplicity 16)
Pt: 0.0000 0.1294 0.1769 (multiplicity 16)
Pt: 0.2500 0.2500 0.0000 (multiplicity 8)

Properties
Calculated formation energy = -3.07 eV/f.u.



These records have N(E_F) values of 0.317, 0.489, 0.638 states/eV per atom, in the order they appear.